Entry 1:
The following is a PBE calculation of an optimized crystal structure of CeZrBe, from Alexandria via LeMat-Bulk.

Output
- energy of formation from the pure elements (eV per formula unit) = 0.0
- total DFT energy (no corrections) (eV/atom) = -6.08
- density of states at the Fermi level (states/eV/f.u.) = 4.28
- polymorph energy (0 for the lowest one) (kJ/mol of atoms) = 0.00

abc: 3.5711 3.7060 9.2205
angles: 78.41 90.00 90.00
Closest atoms and distances in Å follow each position.
Atoms (fractional coordinates):
Zr1 0.2500 0.9244 0.1511  6 Be 2.66-2.70
Zr2 0.7500 0.0756 0.8489  6 Be 2.66-2.70
Be1 0.2500 0.5303 0.9393  2 Be 2.10
Be2 0.7500 0.4697 0.0607  2 Be 2.10
Ce1 0.2500 0.6948 0.6103  1 Be 2.97, 4 Ce 3.25
Ce2 0.7500 0.3052 0.3897  1 Be 2.97, 4 Ce 3.25

---

Entry 2:
The following is a PBE calculation of an optimized crystal structure of KTe2Os, from Alexandria via LeMat-Bulk.

Output
- formation energy without anion corrections (meV/atom) = 875
- total DFT energy (no corrections) (eV/atom) = -3.78
- density of states at the Fermi level (states/eV/f.u.) = 4.54
- polymorph energy (0 for the lowest one) (kJ/mol of atoms) = 100.56

abc: 5.9327 5.9327 5.9327
angles: 137.15 137.15 62.20
Closest atoms and distances in Å follow each position.
Atoms (fractional coordinates):
Os1 0.7500 0.2500 0.5000  8 Te 3.06-3.34, 4 K 3.34
K1 0.5000 0.5000 0.0000  8 Te 3.06-3.34, 4 Os 3.34
Te1 0.2500 0.7500 0.5000  4 Os 3.06, 4 Te 3.34, 4 K 3.34
Te2 0.0000 0.0000 0.0000  4 K 3.06, 4 Os 3.34, 4 Te 3.34

---

- What is the formula in the second record?
  KTe2Os

---

- Look up the polymorph energy (0 for the lowest one) of the second one.
  100.56 kJ/mol of atoms